Computed, not measured: crystalline CaLaMnSnO6 at its relaxed geometry at the PBE with a Hubbard U level of DFT.

Cell: 5.604 5.860 9.600 Å, 90.00 125.18 90.00°
Element x y z (fractional)
Ca1 0.000 0.192 0.000
Ca2 0.000 0.808 0.500
La1 0.529 0.305 0.504
La2 0.529 0.695 0.004
Mn1 0.267 0.248 0.754
Mn2 0.267 0.752 0.254
Sn1 0.765 0.246 0.251
Sn2 0.765 0.754 0.751
O1 0.006 0.439 0.200
O2 0.006 0.561 0.700
O3 0.117 0.218 0.512
O4 0.117 0.782 0.012
O5 0.407 0.278 0.994
O6 0.407 0.722 0.494
O7 0.526 0.055 0.305
O8 0.526 0.945 0.805
O9 0.606 0.446 0.800
O10 0.606 0.554 0.300
O11 0.927 0.056 0.708
O12 0.927 0.944 0.208

Values from the calculation:
space-group type = Pc, No. 7
size of the total moment = 4.0 μB per formula unit
electronic total energy = -7.198 eV per atom
V = 257.7 Å³ per cell